DFT (GGA+U) results for VBiO4 after structural relaxation.

```
data_VBiO4
_chemical_formula_sum 'V2 Bi2 O8'
_symmetry_space_group_name_H-M 'P 1'
_symmetry_Int_Tables_number 1
_symmetry_space_group_name_Hall 'P 1'
_cell_length_a 6.161
_cell_length_b 6.161
_cell_length_c 6.161
_cell_angle_alpha 106.17
_cell_angle_beta 106.17
_cell_angle_gamma 116.30
loop_
_atom_site_label
_atom_site_type_symbol
_atom_site_fract_x
_atom_site_fract_y
_atom_site_fract_z
V1 V 0.875 0.125 0.250
V2 V 0.125 0.875 0.750
Bi1 Bi 0.625 0.375 0.750
Bi2 Bi 0.375 0.625 0.250
O1 O 0.135 0.703 0.932
O2 O 0.703 0.135 0.432
O3 O 0.228 0.297 0.432
O4 O 0.703 0.772 0.068
O5 O 0.297 0.228 0.932
O6 O 0.772 0.703 0.568
O7 O 0.297 0.865 0.568
O8 O 0.865 0.297 0.068
```

Values from the calculation:
The calculation puts the total energy at -6.8793 eV/atom.